NiGe2Bi2 (PBE-GGA, optimized geometry); total DFT energy (no corrections) = -21.86 eV/f.u.; M_tot = 0.00 μB per cell; DOS(E_F) = 7.0 states/eV/cell
1.0
6.3887 0.0000 0.0000
0.0000 6.3887 0.0000
0.0000 0.0000 5.4854
Ge Bi Ni
4 4 2
Direct
0.6483 0.1483 0.0000
0.8517 0.6483 0.0000
0.3517 0.8517 0.0000
0.1483 0.3517 0.0000
0.6923 0.8077 0.5000
0.3077 0.1923 0.5000
0.1923 0.6923 0.5000
0.8077 0.3077 0.5000
0.0000 0.0000 0.0000
0.5000 0.5000 0.0000